Density functional theory data (PBE-GGA) for a relaxed CSeF crystal.

Cell: 3.026 3.726 5.341 Å, 84.70 88.82 70.97°
Space group P1 (No. 1)
Asymmetric unit:
1 C 0.000 0.000 0.000 x1
2 Se 0.618 0.692 0.138 x1
3 F 0.980 0.071 0.744 x1

The density of states at the Fermi level is 0.160 states/eV per cell. As for the uncorrected formation energy: 0.27 eV per formula unit.